First-principles (GGA-PBEsol) data for NaNi4H9C3O15 after structural relaxation, as listed in Alexandria via LeMat-Bulk.

Cell and atoms, written as POSCAR:
```
NaNi4H9C3O15
1.0
10.233 0.000 0.000
-5.117 8.862 0.000
0.000 0.000 6.017
Na Ni H C O
2 8 18 6 30
Direct
0.000 0.000 0.000
0.000 0.000 0.500
0.001 0.487 0.142
0.333 0.667 0.262
0.486 0.999 0.142
0.487 0.486 0.642
0.513 0.514 0.142
0.514 0.001 0.642
0.667 0.333 0.762
0.999 0.513 0.642
0.006 0.231 0.225
0.109 0.819 0.226
0.162 0.441 0.459
0.181 0.290 0.226
0.225 0.994 0.225
0.231 0.225 0.725
0.279 0.838 0.459
0.290 0.109 0.726
0.441 0.279 0.959
0.559 0.721 0.459
0.710 0.891 0.226
0.721 0.162 0.959
0.769 0.775 0.225
0.775 0.006 0.725
0.819 0.710 0.726
0.838 0.559 0.959
0.891 0.181 0.726
0.994 0.769 0.725
0.219 0.439 0.886
0.220 0.781 0.886
0.439 0.220 0.386
0.561 0.780 0.886
0.780 0.219 0.386
0.781 0.561 0.386
0.082 0.200 0.254
0.087 0.428 0.884
0.118 0.918 0.254
0.138 0.517 0.404
0.141 0.733 0.707
0.180 0.703 0.069
0.200 0.118 0.754
0.267 0.409 0.707
0.297 0.477 0.069
0.341 0.913 0.884
0.380 0.862 0.404
0.409 0.141 0.207
0.428 0.341 0.384
0.477 0.180 0.569
0.483 0.620 0.404
0.517 0.380 0.904
0.523 0.820 0.069
0.572 0.659 0.884
0.591 0.859 0.707
0.620 0.138 0.904
0.659 0.087 0.384
0.703 0.523 0.569
0.733 0.591 0.207
0.800 0.882 0.254
0.820 0.297 0.569
0.859 0.267 0.207
0.862 0.483 0.904
0.882 0.082 0.754
0.913 0.572 0.384
0.918 0.800 0.754
```

## Properties
Raw total energy: -6.182 eV per atom

---

First-principles (GGA-PBEsol) data for Na3H5C2O8 after structural relaxation, as listed in Alexandria via LeMat-Bulk.

Cell and atoms, written as POSCAR:
```
Na3H5C2O8
1.0
9.943 -1.752 0.000
9.943 1.752 0.000
-3.073 0.000 9.903
Na H C O
6 10 4 16
Direct
0.189 0.501 0.072
0.246 0.754 0.750
0.499 0.811 0.428
0.501 0.189 0.572
0.754 0.246 0.250
0.811 0.499 0.928
0.024 0.502 0.365
0.108 0.276 0.258
0.276 0.108 0.758
0.498 0.976 0.135
0.500 0.500 0.000
0.500 0.500 0.500
0.502 0.024 0.865
0.724 0.892 0.242
0.892 0.724 0.742
0.976 0.498 0.635
0.136 0.676 0.394
0.324 0.864 0.106
0.676 0.136 0.894
0.864 0.324 0.606
0.058 0.370 0.356
0.075 0.232 0.606
0.176 0.678 0.290
0.232 0.075 0.106
0.314 0.576 0.511
0.322 0.824 0.210
0.370 0.058 0.856
0.424 0.686 0.989
0.576 0.314 0.011
0.630 0.942 0.144
0.678 0.176 0.790
0.686 0.424 0.489
0.768 0.925 0.894
0.824 0.322 0.710
0.925 0.768 0.394
0.942 0.630 0.644
```

## Properties
Raw total energy: -6.006 eV per atom
Fermi-level density of states: 0.00 states/eV/f.u.

---

First-principles (GGA-PBEsol) data for NaH3C2O5 after structural relaxation, as listed in Alexandria via LeMat-Bulk.

Cell and atoms, written as POSCAR:
```
NaH3C2O5
1.0
5.642 0.000 0.000
2.097 6.091 0.000
0.512 1.521 6.419
Na H C O
2 6 4 10
Direct
0.239 0.256 0.028
0.761 0.744 0.972
0.000 0.246 0.604
0.000 0.754 0.396
0.236 0.693 0.764
0.259 0.719 0.996
0.741 0.281 0.004
0.764 0.307 0.236
0.358 0.237 0.543
0.397 0.778 0.354
0.603 0.222 0.646
0.642 0.763 0.457
0.173 0.237 0.674
0.185 0.648 0.910
0.228 0.736 0.481
0.352 0.244 0.356
0.382 0.833 0.159
0.618 0.167 0.841
0.648 0.756 0.644
0.772 0.264 0.519
0.815 0.352 0.090
0.827 0.763 0.326
```

## Properties
Raw total energy: -6.404 eV per atom
Fermi-level density of states: 0.00 states/eV/f.u.

---

First-principles (GGA-PBEsol) data for Na2H2CO4 after structural relaxation, as listed in Alexandria via LeMat-Bulk.

Cell and atoms, written as POSCAR:
```
Na2H2CO4
1.0
10.710 0.000 0.000
0.000 5.248 0.000
0.000 0.000 6.349
Na H C O
8 8 4 16
Direct
0.001 0.140 0.000
0.189 0.647 0.922
0.311 0.647 0.422
0.499 0.140 0.500
0.501 0.860 0.000
0.689 0.353 0.922
0.811 0.353 0.422
0.999 0.860 0.500
0.066 0.312 0.579
0.093 0.395 0.345
0.407 0.395 0.845
0.434 0.312 0.079
0.566 0.688 0.579
0.593 0.605 0.345
0.907 0.605 0.845
0.934 0.688 0.079
0.246 0.114 0.214
0.254 0.114 0.714
0.746 0.886 0.214
0.754 0.886 0.714
0.030 0.420 0.463
0.135 0.070 0.724
0.168 0.927 0.228
0.206 0.346 0.189
0.294 0.346 0.689
0.332 0.927 0.728
0.365 0.070 0.224
0.470 0.420 0.963
0.530 0.580 0.463
0.635 0.930 0.724
0.668 0.073 0.228
0.706 0.654 0.189
0.794 0.654 0.689
0.832 0.073 0.728
0.865 0.930 0.224
0.970 0.580 0.963
```

## Properties
Raw total energy: -5.971 eV per atom
Fermi-level density of states: 0.00 states/eV/f.u.

---

First-principles (GGA-PBEsol) data for NaHCO3 after structural relaxation, as listed in Alexandria via LeMat-Bulk.

Cell and atoms, written as POSCAR:
```
NaHCO3
1.0
3.461 0.000 0.000
0.000 9.737 0.000
-3.021 0.000 7.338
Na H C O
4 4 4 12
Direct
0.075 0.004 0.285
0.075 0.496 0.785
0.925 0.504 0.215
0.925 0.996 0.715
0.210 0.745 0.658
0.210 0.755 0.158
0.790 0.245 0.842
0.790 0.255 0.342
0.281 0.241 0.075
0.281 0.259 0.575
0.719 0.741 0.425
0.719 0.759 0.925
0.004 0.673 0.561
0.004 0.827 0.061
0.303 0.129 0.571
0.303 0.371 0.071
0.484 0.667 0.291
0.484 0.833 0.791
0.516 0.167 0.209
0.516 0.333 0.709
0.697 0.629 0.929
0.697 0.871 0.429
0.996 0.173 0.939
0.996 0.327 0.439
```

## Properties
Raw total energy: -6.544 eV per atom
Fermi-level density of states: 0.00 states/eV/f.u.

---

First-principles (GGA-PBEsol) data for Rb2NaH5C2O8 after structural relaxation, as listed in Alexandria via LeMat-Bulk.

Cell and atoms, written as POSCAR:
```
Rb2NaH5C2O8
1.0
9.406 0.000 0.000
0.000 8.018 0.000
0.000 0.000 11.982
Rb Na H C O
8 4 20 8 32
Direct
0.225 0.010 0.108
0.225 0.490 0.108
0.275 0.510 0.608
0.275 0.990 0.608
0.725 0.010 0.392
0.725 0.490 0.392
0.775 0.510 0.892
0.775 0.990 0.892
0.064 0.750 0.317
0.436 0.250 0.817
0.564 0.750 0.183
0.936 0.250 0.683
0.005 0.750 0.026
0.012 0.621 0.710
0.012 0.879 0.710
0.127 0.115 0.365
0.127 0.385 0.365
0.373 0.615 0.865
0.373 0.885 0.865
0.488 0.121 0.210
0.488 0.379 0.210
0.495 0.250 0.526
0.505 0.750 0.474
0.512 0.621 0.790
0.512 0.879 0.790
0.627 0.115 0.135
0.627 0.385 0.135
0.873 0.615 0.635
0.873 0.885 0.635
0.988 0.121 0.290
0.988 0.379 0.290
0.995 0.250 0.974
0.136 0.750 0.867
0.146 0.250 0.855
0.354 0.750 0.355
0.364 0.250 0.367
0.636 0.750 0.633
0.646 0.250 0.645
0.854 0.750 0.145
0.864 0.250 0.133
0.007 0.250 0.881
0.012 0.750 0.915
0.055 0.041 0.328
0.055 0.459 0.328
0.141 0.750 0.759
0.177 0.250 0.751
0.237 0.250 0.933
0.249 0.250 0.426
0.251 0.750 0.926
0.263 0.750 0.433
0.323 0.750 0.251
0.359 0.250 0.259
0.445 0.541 0.828
0.445 0.959 0.828
0.488 0.250 0.415
0.493 0.750 0.381
0.507 0.250 0.619
0.512 0.750 0.585
0.555 0.041 0.172
0.555 0.459 0.172
0.641 0.750 0.741
0.677 0.250 0.749
0.737 0.250 0.567
0.749 0.250 0.074
0.751 0.750 0.574
0.763 0.750 0.067
0.823 0.750 0.249
0.859 0.250 0.241
0.945 0.541 0.672
0.945 0.959 0.672
0.988 0.250 0.085
0.993 0.750 0.119
```

## Properties
Raw total energy: -5.981 eV per atom
Fermi-level density of states: 0.00 states/eV/f.u.

---

First-principles (GGA-PBEsol) data for Na5ScH4C4O14 after structural relaxation, as listed in Alexandria via LeMat-Bulk.

Cell and atoms, written as POSCAR:
```
Na5ScH4C4O14
1.0
7.449 0.000 0.000
0.000 7.449 0.000
0.000 0.000 11.519
Na Sc H C O
10 2 8 8 28
Direct
0.000 0.000 0.000
0.179 0.317 0.711
0.183 0.321 0.211
0.317 0.821 0.289
0.321 0.817 0.789
0.500 0.500 0.500
0.679 0.183 0.789
0.683 0.179 0.289
0.817 0.679 0.211
0.821 0.683 0.711
0.000 0.000 0.500
0.500 0.500 0.000
0.061 0.588 0.387
0.088 0.561 0.887
0.412 0.061 0.613
0.439 0.088 0.113
0.561 0.912 0.113
0.588 0.939 0.613
0.912 0.439 0.887
0.939 0.412 0.387
0.174 0.717 0.577
0.217 0.674 0.077
0.283 0.174 0.423
0.326 0.217 0.923
0.674 0.783 0.923
0.717 0.826 0.423
0.783 0.326 0.077
0.826 0.283 0.577
0.000 0.500 0.334
0.000 0.500 0.834
0.087 0.765 0.115
0.092 0.831 0.645
0.155 0.752 0.465
0.169 0.092 0.355
0.235 0.087 0.885
0.248 0.155 0.535
0.252 0.655 0.965
0.265 0.587 0.615
0.331 0.592 0.145
0.345 0.252 0.035
0.408 0.331 0.855
0.413 0.265 0.385
0.500 0.000 0.166
0.500 0.000 0.666
0.587 0.735 0.385
0.592 0.669 0.855
0.655 0.748 0.035
0.669 0.408 0.145
0.735 0.413 0.615
0.748 0.345 0.965
0.752 0.845 0.535
0.765 0.913 0.885
0.831 0.908 0.355
0.845 0.248 0.465
0.908 0.169 0.645
0.913 0.235 0.115
```

## Properties
Raw total energy: -6.702 eV per atom
Fermi-level density of states: 0.00 states/eV/f.u.